Tb2CuI: relaxed, PBE-GGA.

## Properties
- Energy relative to the elements, uncorrected: -0.483 eV/atom
- Crystal system: trigonal
- DFT total energy: -16.8 eV for the cell shown

Lattice parameters (Å, degrees): 8.0814 8.0814 8.0814 29.34 29.34 29.34
With the nearest neighbours (Å) after each atom.
Atoms (fractional coordinates):
Tb (0.2319, 0.2319, 0.2319)  3 Cu 2.81
Tb (0.7681, 0.7681, 0.7681)  3 Cu 2.81
Cu (0.5000, 0.5000, 0.5000)  6 Tb 2.81
I (0.0000, 0.0000, 0.0000)  6 Tb 3.33

=====

SiPb3: relaxed, PBE-GGA.

## Properties
- Energy relative to the elements, uncorrected: 0.341 eV/atom
- Crystal system: hexagonal
- DFT total energy: -30.4 eV for the cell shown

Lattice parameters (Å, degrees): 6.7191 6.7191 5.7490 90.00 90.00 120.00
With the nearest neighbours (Å) after each atom.
Atoms (fractional coordinates):
Si (0.3333, 0.6667, 0.2500)  12 Pb 3.36-3.44
Si (0.6667, 0.3333, 0.7500)  12 Pb 3.36-3.44
Pb (0.1711, 0.3422, 0.7500)  8 Pb 3.27-3.50, 4 Si 3.36-3.44
Pb (0.1711, 0.8289, 0.7500)  8 Pb 3.27-3.50, 4 Si 3.36-3.44
Pb (0.3422, 0.1711, 0.2500)  8 Pb 3.27-3.50, 4 Si 3.36-3.44
Pb (0.6578, 0.8289, 0.7500)  8 Pb 3.27-3.50, 4 Si 3.36-3.44
Pb (0.8289, 0.1711, 0.2500)  8 Pb 3.27-3.50, 4 Si 3.36-3.44
Pb (0.8289, 0.6578, 0.2500)  8 Pb 3.27-3.50, 4 Si 3.36-3.44

=====

UTiMn4: relaxed, PBE-GGA.

## Properties
- Crystal system: cubic
- Energy of formation from the pure elements: 0.027 eV per atom
- DFT total energy: -55.7 eV for the cell shown

Lattice parameters (Å, degrees): 4.9136 4.9136 4.9136 60.00 60.00 60.00
With the nearest neighbours (Å) after each atom.
Atoms (fractional coordinates):
U (0.0000, 0.0000, 0.0000)  12 Mn 2.88, 4 Ti 3.01
Ti (0.7500, 0.7500, 0.7500)  12 Mn 2.88, 4 U 3.01
Mn (0.3756, 0.3756, 0.3756)  6 Mn 2.44-2.47
Mn (0.3756, 0.3756, 0.8731)  6 Mn 2.44-2.47
Mn (0.3756, 0.8731, 0.3756)  6 Mn 2.44-2.47
Mn (0.8731, 0.3756, 0.3756)  6 Mn 2.44-2.47

=====

Np2Cd3Sn3: relaxed, PBE-GGA.

## Properties
- Crystal system: orthorhombic
- Energy of formation from the pure elements: -0.030 eV per atom
- DFT total energy: -40.9 eV for the cell shown

Lattice parameters (Å, degrees): 4.6354 4.8421 8.8025 90.00 90.00 90.00
With the nearest neighbours (Å) after each atom.
Atoms (fractional coordinates):
Np (0.0000, 0.0000, 0.2439)  6 Sn 3.16-3.24, 6 Cd 3.31-3.35
Np (0.0000, 0.0000, 0.7561)  6 Sn 3.16-3.24, 6 Cd 3.31-3.35
Cd (0.0000, 0.5000, 0.5000)  4 Cd 3.15, 4 Np 3.31, 4 Sn 3.35
Cd (0.5000, 0.5000, 0.2573)  2 Cd 3.15, 6 Sn 3.23-3.32, 4 Np 3.35
Cd (0.5000, 0.5000, 0.7427)  2 Cd 3.15, 6 Sn 3.23-3.32, 4 Np 3.35
Sn (0.0000, 0.5000, 0.0000)  4 Np 3.24, 4 Cd 3.24, 4 Sn 3.35
Sn (0.5000, 0.0000, 0.0000)  4 Np 3.16, 4 Cd 3.32, 4 Sn 3.35
Sn (0.5000, 0.0000, 0.5000)  8 Cd 3.23-3.35, 4 Np 3.23

=====

La3IrPb: relaxed, PBE-GGA.

## Properties
- Crystal system: orthorhombic
- Energy of formation from the pure elements: -0.687 eV per atom
- DFT total energy: -123.1 eV for the cell shown

Lattice parameters (Å, degrees): 8.7087 4.6767 15.4921 90.00 90.00 90.00
With the nearest neighbours (Å) after each atom.
Atoms (fractional coordinates):
La (0.0206, 0.2500, 0.1061)  3 Ir 2.86-2.99
La (0.1481, 0.2500, 0.5069)  2 Ir 2.97
La (0.1855, 0.7500, 0.2876)  1 Ir 2.69
La (0.3145, 0.2500, 0.7876)  1 Ir 2.69
La (0.3519, 0.7500, 0.0069)  2 Ir 2.97
La (0.4794, 0.7500, 0.6061)  3 Ir 2.86-2.99
La (0.5206, 0.2500, 0.3939)  3 Ir 2.86-2.99
La (0.6481, 0.2500, 0.9931)  2 Ir 2.97
La (0.6855, 0.7500, 0.2124)  1 Ir 2.69
La (0.8145, 0.2500, 0.7124)  1 Ir 2.69
La (0.8519, 0.7500, 0.4931)  2 Ir 2.97
La (0.9794, 0.7500, 0.8939)  3 Ir 2.86-2.99
Ir (0.1748, 0.2500, 0.9427)  6 La 2.69-2.99
Ir (0.3252, 0.7500, 0.4427)  6 La 2.69-2.99
Ir (0.6748, 0.2500, 0.5573)  6 La 2.69-2.99
Ir (0.8252, 0.7500, 0.0573)  6 La 2.69-2.99
Pb (0.0952, 0.7500, 0.6751)  9 La 3.43-3.54
Pb (0.4048, 0.2500, 0.1751)  9 La 3.43-3.54
Pb (0.5952, 0.7500, 0.8249)  9 La 3.43-3.54
Pb (0.9048, 0.2500, 0.3249)  9 La 3.43-3.54

=====

Al2HgBi2: relaxed, PBE-GGA.

## Properties
- Crystal system: tetragonal
- Energy of formation from the pure elements: 0.241 eV per atom
- DFT total energy: -28.7 eV for the cell shown

Lattice parameters (Å, degrees): 8.8863 8.8863 3.4379 90.00 90.00 90.00
With the nearest neighbours (Å) after each atom.
Atoms (fractional coordinates):
Al (0.1227, 0.3773, 0.0000)  3 Al 3.08-3.44, 6 Bi 3.13-3.14
Al (0.3773, 0.8773, 0.0000)  3 Al 3.08-3.44, 6 Bi 3.13-3.14
Al (0.6227, 0.1227, 0.0000)  3 Al 3.08-3.44, 6 Bi 3.13-3.14
Al (0.8773, 0.6227, 0.0000)  3 Al 3.08-3.44, 6 Bi 3.13-3.14
Hg (0.0000, 0.0000, 0.5000)  4 Bi 3.30, 2 Hg 3.44
Hg (0.5000, 0.5000, 0.5000)  4 Bi 3.30, 2 Hg 3.44
Bi (0.1696, 0.6696, 0.5000)  6 Al 3.13-3.14, 2 Hg 3.30, 2 Bi 3.44
Bi (0.3304, 0.1696, 0.5000)  6 Al 3.13-3.14, 2 Hg 3.30, 2 Bi 3.44
Bi (0.6696, 0.8304, 0.5000)  6 Al 3.13-3.14, 2 Hg 3.30, 2 Bi 3.44
Bi (0.8304, 0.3304, 0.5000)  6 Al 3.13-3.14, 2 Hg 3.30, 2 Bi 3.44

=====

HfNpTe2: relaxed, PBE-GGA.

## Properties
- Energy relative to the elements, uncorrected: -0.134 eV/atom
- Crystal system: trigonal
- DFT total energy: -29.7 eV for the cell shown

Lattice parameters (Å, degrees): 10.3128 10.3128 10.3128 20.96 20.96 20.96
With the nearest neighbours (Å) after each atom.
Atoms (fractional coordinates):
Hf (0.0000, 0.0000, 0.0000)  6 Te 2.87
Np (0.5000, 0.5000, 0.5000)  2 Te 3.16
Te (0.3955, 0.3955, 0.3955)  3 Hf 2.87, 1 Np 3.16
Te (0.6045, 0.6045, 0.6045)  3 Hf 2.87, 1 Np 3.16

=====

SrCe2NdAs4: relaxed, PBE-GGA.

## Properties
- Crystal system: monoclinic
- Energy of formation from the pure elements: -1.377 eV per atom
- DFT total energy: -47.9 eV for the cell shown

Lattice parameters (Å, degrees): 7.4260 4.2893 7.4524 90.00 109.41 90.00
With the nearest neighbours (Å) after each atom.
Atoms (fractional coordinates):
Sr (0.0000, 0.0000, 0.0000)  6 As 3.12-3.14
Ce (0.5000, 0.0000, 0.5000)  6 As 2.94-2.95
Ce (0.5000, 0.5000, 0.0000)  6 As 3.01
Nd (0.0000, 0.5000, 0.5000)  6 As 3.06-3.07
As (0.2613, 0.0000, 0.7471)  3 Ce 2.95-3.01, 2 Nd 3.06, 1 Sr 3.12
As (0.2696, 0.5000, 0.2639)  3 Ce 2.94-3.01, 1 Nd 3.07, 2 Sr 3.14
As (0.7304, 0.5000, 0.7361)  3 Ce 2.94-3.01, 1 Nd 3.07, 2 Sr 3.14
As (0.7387, 0.0000, 0.2529)  3 Ce 2.95-3.01, 2 Nd 3.06, 1 Sr 3.12